Entry 1:
The following is a GGA-PBE calculation of a relaxed CeThAu2 crystal, from the Alexandria database.

As for the density of states at the Fermi level: 2.262 states/eV per atom. The formation enthalpy at 0 K is -0.57 eV per atom. As for the magnetic moment: 0.329 μB per atom.

The structure belongs to space group P4/mmm (No. 123); the cell edges are 5.322, 5.322 and 3.595 Å and the angles 90.00°, 90.00° and 90.00°. The asymmetric unit holds Ce at (0.000, 0.000, 0.000), Th at (0.500, 0.500, 0.000) and Au at (0.000, 0.500, 0.500).

=====

Entry 2:
The following is a GGA-PBE calculation of a relaxed Ac4Tc3N10 crystal, from the Alexandria database.

As for the density of states at the Fermi level: 0.472 states/eV per atom. The value obtained for the uncorrected formation energy is -632.2 meV per atom. As for the magnetic moment: 0.000 μB per atom.

The structure belongs to space group I4/mmm (No. 139); the cell edges are 4.013, 4.013 and 29.202 Å and the angles 90.00°, 90.00° and 90.00°. The asymmetric unit holds Ac at (0.000, 0.000, 0.067), Ac at (0.000, 0.000, 0.201), Tc at (0.000, 0.000, 0.363), Tc at (0.000, 0.000, 0.500), N at (0.000, 0.000, 0.291), N at (0.000, 0.000, 0.431), N at (0.000, 0.500, 0.000) and N at (0.000, 0.500, 0.138).

=====

Entry 3:
The following is a GGA-PBE calculation of a relaxed Li2TeO4 crystal, from the Alexandria database.

The value obtained for the uncorrected formation energy is -1290.9 meV per atom. As for the magnetic moment: 0.000 μB per atom.

The structure belongs to space group I4/mmm (No. 139); the cell edges are 3.925, 3.925 and 11.072 Å and the angles 90.00°, 90.00° and 90.00°. The asymmetric unit holds Li at (0.000, 0.000, 0.164), Te at (0.000, 0.000, 0.500), O at (0.000, 0.000, 0.332) and O at (0.000, 0.500, 0.000).

=====

Entry 4:
The following is a GGA-PBE calculation of a relaxed TlZnAu crystal, from the Alexandria database.

As for the density of states at the Fermi level: 0.388 states/eV per atom. The formation enthalpy at 0 K is 0.00 eV per atom. As for the energy above the most stable polymorph in this dataset: 117 meV/atom. As for the magnetic moment: 0.000 μB per atom.

The structure belongs to space group P3m1 (No. 156); the cell edges are 4.4915, 4.4915 and 3.8558 Å and the angles 90.00°, 90.00° and 120.00°. The asymmetric unit holds Tl at (0.0000, 0.0000, 0.0000), Zn at (0.3333, 0.6667, 0.4627) and Au at (0.6667, 0.3333, 0.5496).